No. 1
## Zn3AuS (GGA-PBE)

Data for crystalline Zn3AuS at its relaxed geometry.

Cell: 4.6953 4.6953 4.6953 Å, 90.00 90.00 90.00°
Space group Pm-3m (No. 221)
One atom of each set of equivalent atoms:
Zn 0.0000 0.0000 0.5000 (multiplicity 3)
Au 0.5000 0.5000 0.5000 (multiplicity 1)
S 0.0000 0.0000 0.0000 (multiplicity 1)

Values from the calculation:
**Magnetic moment**: 0.000 μB per atom
**Distance to the lowest polymorph of the same formula**: 47 meV per atom
**Energy relative to the elements, uncorrected**: 1.76 eV/f.u.
**E**: -1.893 eV per atom

No. 2
## NbFe2W (GGA-PBE)

Data for crystalline NbFe2W at its relaxed geometry.

Cell: 2.8846 2.8846 6.7255 Å, 90.00 90.00 90.00°
Space group P4/mmm (No. 123)
One atom of each set of equivalent atoms:
Nb 0.0000 0.0000 0.0000 (multiplicity 1)
Fe 0.5000 0.5000 0.2830 (multiplicity 2)
W 0.0000 0.0000 0.5000 (multiplicity 1)

Values from the calculation:
**DFT formation energy**: 0.0932 eV per atom
**Magnetic moment**: 0.000 μB per atom
**Distance to the lowest polymorph of the same formula**: 15 meV per atom
**E**: -9.894 eV per atom

No. 3
## TbYScIn (GGA-PBE)

Data for crystalline TbYScIn at its relaxed geometry.

Cell: 4.7197 4.7588 4.7839 Å, 90.00 90.00 90.00°
Space group Pmmm (No. 47)
One atom of each set of equivalent atoms:
Tb 0.0000 0.0000 0.0000 (multiplicity 1)
Y 0.0000 0.5000 0.5000 (multiplicity 1)
Sc 0.5000 0.5000 0.0000 (multiplicity 1)
In 0.5000 0.0000 0.5000 (multiplicity 1)

Values from the calculation:
**DFT formation energy**: -0.2651 eV per atom
**Magnetic moment**: 0.219 μB per atom
**Distance to the lowest polymorph of the same formula**: 0 meV per atom
**E**: -5.306 eV per atom

No. 4
## Mn4NiRh (GGA-PBE)

Data for crystalline Mn4NiRh at its relaxed geometry.

Cell: 6.5342 6.5342 6.5342 Å, 90.00 90.00 90.00°
Space group F-43m (No. 216)
One atom of each set of equivalent atoms:
Mn 0.1236 0.1236 0.1236 (multiplicity 16)
Ni 0.2500 0.2500 0.7500 (multiplicity 4)
Rh 0.0000 0.0000 0.5000 (multiplicity 4)

Values from the calculation:
**DFT formation energy**: 0.1541 eV per atom
**Magnetic moment**: 0.089 μB per atom
**E**: -8.148 eV per atom

No. 5
## BiMo3Au (GGA-PBE)

Data for crystalline BiMo3Au at its relaxed geometry.

Cell: 4.9362 4.9362 4.9362 Å, 90.00 90.00 90.00°
Space group Pm-3m (No. 221)
One atom of each set of equivalent atoms:
Bi 0.0000 0.0000 0.0000 (multiplicity 1)
Mo 0.0000 0.5000 0.5000 (multiplicity 3)
Au 0.5000 0.5000 0.5000 (multiplicity 1)

Values from the calculation:
**DFT formation energy**: 1.9854 eV per atom
**Magnetic moment**: 0.753 μB per atom
**Distance to the lowest polymorph of the same formula**: 0 meV per atom
**E**: -5.945 eV per atom

No. 6
## Li4HoPd (GGA-PBE)

Data for crystalline Li4HoPd at its relaxed geometry.

Cell: 7.4282 7.4282 7.4282 Å, 90.00 90.00 90.00°
Space group F-43m (No. 216)
One atom of each set of equivalent atoms:
Li 0.1223 0.1223 0.3777 (multiplicity 16)
Ho 0.0000 0.0000 0.0000 (multiplicity 4)
Pd 0.2500 0.2500 0.7500 (multiplicity 4)

Values from the calculation:
**DFT formation energy**: -0.0896 eV per atom
**Magnetic moment**: 0.000 μB per atom
**E**: -2.994 eV per atom

No. 7
## Ba3BeNi (GGA-PBE)

Data for crystalline Ba3BeNi at its relaxed geometry.

Cell: 5.9275 5.9275 5.9275 Å, 90.00 90.00 90.00°
Space group Pm-3m (No. 221)
One atom of each set of equivalent atoms:
Ba 0.0000 0.0000 0.5000 (multiplicity 3)
Be 0.5000 0.5000 0.5000 (multiplicity 1)
Ni 0.0000 0.0000 0.0000 (multiplicity 1)

Values from the calculation:
**DFT formation energy**: 0.4681 eV per atom
**Magnetic moment**: 0.000 μB per atom
**Distance to the lowest polymorph of the same formula**: 0 meV per atom
**E**: -2.587 eV per atom

No. 8
## YV2ReI (GGA-PBE)

Data for crystalline YV2ReI at its relaxed geometry.

Cell: 4.8412 4.8412 4.9708 Å, 90.00 90.00 90.00°
Space group P4/mmm (No. 123)
One atom of each set of equivalent atoms:
Y 0.0000 0.0000 0.0000 (multiplicity 1)
V 0.0000 0.5000 0.0000 (multiplicity 2)
Re 0.0000 0.0000 0.5000 (multiplicity 1)
I 0.5000 0.5000 0.5000 (multiplicity 1)

Values from the calculation:
**Magnetic moment**: 0.000 μB per atom
**Energy relative to the elements, uncorrected**: 12.25 eV/f.u.
**E**: -5.290 eV per atom

No. 9
## TlTeP2 (GGA-PBE)

Data for crystalline TlTeP2 at its relaxed geometry.

Cell: 3.8056 3.8233 7.4917 Å, 90.00 90.00 90.00°
Space group Pmmm (No. 47)
One atom of each set of equivalent atoms:
Tl 0.0000 0.0000 0.0000 (multiplicity 1)
Te 0.0000 0.5000 0.5000 (multiplicity 1)
P 0.5000 0.0000 0.5000 (multiplicity 1)
P 0.5000 0.5000 0.0000 (multiplicity 1)

Values from the calculation:
**Magnetic moment**: 0.041 μB per atom
**Distance to the lowest polymorph of the same formula**: 577 meV per atom
**Energy relative to the elements, uncorrected**: 2.41 eV/f.u.
**E**: -3.479 eV per atom

No. 10
## GdP2Ir (GGA-PBE)

Data for crystalline GdP2Ir at its relaxed geometry.

Cell: 3.8817 3.8817 16.1598 Å, 90.00 90.00 120.00°
Space group R-3m (No. 166, hexagonal axes)
One atom of each set of equivalent atoms:
Gd 0.0000 0.0000 0.0000 (multiplicity 3)
P 0.0000 0.0000 0.2288 (multiplicity 6)
Ir 0.0000 0.0000 0.5000 (multiplicity 3)

Values from the calculation:
**DFT formation energy**: -1.0358 eV per atom
**Magnetic moment**: 1.777 μB per atom
**E**: -9.476 eV per atom

No. 11
## TiTl3Au (GGA-PBE)

Data for crystalline TiTl3Au at its relaxed geometry.

Cell: 5.4346 5.4346 5.4346 Å, 90.00 90.00 90.00°
Space group Pm-3m (No. 221)
One atom of each set of equivalent atoms:
Ti 0.0000 0.0000 0.0000 (multiplicity 1)
Tl 0.0000 0.0000 0.5000 (multiplicity 3)
Au 0.5000 0.5000 0.5000 (multiplicity 1)

Values from the calculation:
**DFT formation energy**: 0.6472 eV per atom
**Magnetic moment**: 0.000 μB per atom
**Distance to the lowest polymorph of the same formula**: 0 meV per atom
**E**: -3.007 eV per atom

No. 12
## ZnPd3Pb (GGA-PBE)

Data for crystalline ZnPd3Pb at its relaxed geometry.

Cell: 5.3441 5.4928 7.1594 Å, 78.99 68.30 61.08°
Space group P1 (No. 1)
One atom of each set of equivalent atoms:
Zn 0.0000 0.0000 0.0000 (multiplicity 1)
Zn 0.3341 0.3257 0.5016 (multiplicity 1)
Pd 0.0168 0.5206 0.8955 (multiplicity 1)
Pd 0.1494 0.9310 0.6148 (multiplicity 1)
Pd 0.4215 0.3887 0.1160 (multiplicity 1)
Pd 0.5356 0.0130 0.7957 (multiplicity 1)
Pd 0.8786 0.7989 0.3926 (multiplicity 1)
Pd 0.8883 0.3059 0.3002 (multiplicity 1)
Pb 0.4760 0.8376 0.2040 (multiplicity 1)
Pb 0.6522 0.4822 0.7053 (multiplicity 1)

Values from the calculation:
**DFT formation energy**: -0.2861 eV per atom
**Magnetic moment**: 0.000 μB per atom
**Distance to the lowest polymorph of the same formula**: 0 meV per atom
**E**: -4.398 eV per atom

No. 13
## SrLaAlTl (GGA-PBE)

Data for crystalline SrLaAlTl at its relaxed geometry.

Cell: 7.9188 7.9188 7.9188 Å, 90.00 90.00 90.00°
Space group F-43m (No. 216)
One atom of each set of equivalent atoms:
Sr 0.0000 0.0000 0.0000 (multiplicity 4)
La 0.0000 0.0000 0.5000 (multiplicity 4)
Al 0.2500 0.2500 0.7500 (multiplicity 4)
Tl 0.2500 0.2500 0.2500 (multiplicity 4)

Values from the calculation:
**DFT formation energy**: -0.2783 eV per atom
**Magnetic moment**: 0.000 μB per atom
**E**: -3.458 eV per atom

No. 14
## BePb2Br2 (GGA-PBE)

Data for crystalline BePb2Br2 at its relaxed geometry.

Cell: 9.1087 9.1087 3.6278 Å, 90.00 90.00 90.00°
Space group P4/mbm (No. 127)
One atom of each set of equivalent atoms:
Be 0.0000 0.0000 0.0000 (multiplicity 2)
Pb 0.1851 0.3149 0.5000 (multiplicity 4)
Br 0.1274 0.6274 0.0000 (multiplicity 4)

Values from the calculation:
**Magnetic moment**: 0.000 μB per atom
**Distance to the lowest polymorph of the same formula**: 0 meV per atom
**Energy relative to the elements, uncorrected**: 1.76 eV/f.u.
**E**: -2.547 eV per atom

No. 15
## Tb3Y2Sc2 (GGA-PBE)

Data for crystalline Tb3Y2Sc2 at its relaxed geometry.

Cell: 10.9407 4.9333 7.8101 Å, 90.00 98.55 90.00°
Space group C2/m (No. 12)
One atom of each set of equivalent atoms:
Tb 0.0000 0.0000 0.0000 (multiplicity 2)
Tb 0.1445 0.0000 0.4304 (multiplicity 4)
Y 0.0718 0.5000 0.7225 (multiplicity 4)
Sc 0.2159 0.5000 0.1401 (multiplicity 4)

Values from the calculation:
**DFT formation energy**: 0.0480 eV per atom
**Magnetic moment**: 0.000 μB per atom
**Distance to the lowest polymorph of the same formula**: 10 meV per atom
**E**: -5.592 eV per atom

No. 16
## TlCuOF2 (GGA-PBE)

Data for crystalline TlCuOF2 at its relaxed geometry.

Cell: 4.4837 4.4837 4.1564 Å, 90.00 90.00 90.00°
Space group P4/mmm (No. 123)
One atom of each set of equivalent atoms:
Tl 0.0000 0.0000 0.0000 (multiplicity 1)
Cu 0.5000 0.5000 0.5000 (multiplicity 1)
O 0.0000 0.0000 0.5000 (multiplicity 1)
F 0.0000 0.5000 0.0000 (multiplicity 2)

Values from the calculation:
**Magnetic moment**: 0.006 μB per atom
**Distance to the lowest polymorph of the same formula**: 455 meV per atom
**Energy relative to the elements, uncorrected**: -3.29 eV/f.u.
**E**: -3.690 eV per atom

No. 17
## Pr4OsSeI2 (GGA-PBE)

Data for crystalline Pr4OsSeI2 at its relaxed geometry.

Cell: 7.7610 4.2272 8.2732 Å, 90.00 106.36 90.00°
Space group P2/m (No. 10)
One atom of each set of equivalent atoms:
Pr 0.2063 0.0000 0.1881 (multiplicity 2)
Pr 0.2482 0.5000 0.8078 (multiplicity 2)
Os 0.0000 0.5000 0.0000 (multiplicity 1)
Se 0.5000 0.0000 0.0000 (multiplicity 1)
I 0.0000 0.0000 0.5000 (multiplicity 1)
I 0.5000 0.5000 0.5000 (multiplicity 1)

Values from the calculation:
**Magnetic moment**: 0.000 μB per atom
**Energy relative to the elements, uncorrected**: -7.88 eV/f.u.
**E**: -5.601 eV per atom

No. 18
## ZnInCl2 (GGA-PBE)

Data for crystalline ZnInCl2 at its relaxed geometry.

Cell: 6.3198 9.7849 3.5332 Å, 90.00 111.94 90.00°
Space group C2/m (No. 12)
One atom of each set of equivalent atoms:
Zn 0.0000 0.0000 0.0000 (multiplicity 2)
In 0.0000 0.5000 0.0000 (multiplicity 2)
Cl 0.0000 0.1729 0.5000 (multiplicity 4)

Values from the calculation:
**Magnetic moment**: 0.000 μB per atom
**Distance to the lowest polymorph of the same formula**: 160 meV per atom
**Energy relative to the elements, uncorrected**: -2.09 eV/f.u.
**E**: -2.450 eV per atom

No. 19
## CaGd2Cu (GGA-PBE)

Data for crystalline CaGd2Cu at its relaxed geometry.

Cell: 3.8204 3.8204 30.0499 Å, 90.00 90.00 120.00°
Space group R-3m (No. 166, hexagonal axes)
One atom of each set of equivalent atoms:
Ca 0.0000 0.0000 0.0000 (multiplicity 3)
Gd 0.0000 0.0000 0.2271 (multiplicity 6)
Cu 0.0000 0.0000 0.5000 (multiplicity 3)

Values from the calculation:
**DFT formation energy**: 0.0548 eV per atom
**Magnetic moment**: 3.952 μB per atom
**Distance to the lowest polymorph of the same formula**: 101 meV per atom
**E**: -8.510 eV per atom

No. 20
## PrEr6Te8 (GGA-PBE)

Data for crystalline PrEr6Te8 at its relaxed geometry.

Cell: 9.2758 9.2758 18.4132 Å, 90.00 90.00 120.00°
Space group R-3 (No. 148, hexagonal axes)
One atom of each set of equivalent atoms:
Pr 0.0000 0.0000 0.0000 (multiplicity 3)
Er 0.0025 0.3793 0.0735 (multiplicity 18)
Te 0.0000 0.0000 0.3248 (multiplicity 6)
Te 0.0084 0.7193 0.0952 (multiplicity 18)

Values from the calculation:
**Magnetic moment**: 0.000 μB per atom
**Distance to the lowest polymorph of the same formula**: 140 meV per atom
**Energy relative to the elements, uncorrected**: -17.76 eV/f.u.
**E**: -5.003 eV per atom

No. 21
## InPdI2N (GGA-PBE)

Data for crystalline InPdI2N at its relaxed geometry.

Cell: 5.9782 5.9782 4.0714 Å, 90.00 90.00 90.00°
Space group P4/mmm (No. 123)
One atom of each set of equivalent atoms:
In 0.0000 0.0000 0.0000 (multiplicity 1)
Pd 0.5000 0.5000 0.5000 (multiplicity 1)
I 0.0000 0.5000 0.0000 (multiplicity 2)
N 0.0000 0.0000 0.5000 (multiplicity 1)

Values from the calculation:
**Magnetic moment**: 0.410 μB per atom
**Distance to the lowest polymorph of the same formula**: 474 meV per atom
**Energy relative to the elements, uncorrected**: 4.36 eV/f.u.
**E**: -2.999 eV per atom

No. 22
## Th12H5Os3 (GGA-PBE)

Data for crystalline Th12H5Os3 at its relaxed geometry.

Cell: 15.4888 15.4888 15.4888 Å, 90.00 90.00 90.00°
Space group Ia-3d (No. 230)
One atom of each set of equivalent atoms:
Th 0.0344 0.0642 0.6527 (multiplicity 96)
H 0.0000 0.0000 0.0000 (multiplicity 16)
H 0.0000 0.2500 0.3750 (multiplicity 24)
Os 0.0000 0.2500 0.1250 (multiplicity 24)

Values from the calculation:
**Magnetic moment**: 0.000 μB per atom
**E**: -7.132 eV per atom